A plane-wave DFT calculation with GGA+U was carried out for a geometry-optimized FeCuF structure.

```
data_FeCuF
_chemical_formula_sum 'Fe4 Cu4 F4'
_cell_length_a 7.322
_cell_length_b 2.868
_cell_length_c 9.417
_cell_angle_alpha 90.00
_cell_angle_beta 125.33
_cell_angle_gamma 90.00
_symmetry_space_group_name_H-M 'P 1'
_symmetry_Int_Tables_number 1
loop_
_symmetry_equiv_pos_as_xyz
'x,y,z'
loop_
_atom_site_label
_atom_site_fract_x
_atom_site_fract_y
_atom_site_fract_z
Fe1 0.768 0.000 0.468
Fe2 0.768 0.500 0.968
Fe3 0.398 0.000 0.735
Fe4 0.398 0.500 0.235
Cu1 0.555 0.000 0.081
Cu2 0.555 0.500 0.581
Cu3 0.232 0.000 0.379
Cu4 0.232 0.500 0.879
F1 0.080 0.000 0.525
F2 0.080 0.500 0.025
F3 0.960 0.000 0.734
F4 0.960 0.500 0.234
```

## Properties
D(E_F): 0.195 states/eV/atom
offset from the most stable computed form: 260 meV/atom
V: 13.4 Å³/atom